1.
# GaSb2H2Pt7 | Alexandria | PBE | relaxed
data_GaSb2H2Pt7
_space_group_name_H-M_alt 'C 1 2/m 1'
_space_group_IT_number 12
_cell_length_a 5.740
_cell_length_b 5.546
_cell_length_c 11.899
_cell_angle_alpha 90.00
_cell_angle_beta 102.21
_cell_angle_gamma 90.00
loop_
_space_group_symop_operation_xyz
'x,y,z'
'-x,-y,-z'
'-x,y,-z'
'x,-y,z'
'x+1/2,y+1/2,z'
'-x+1/2,-y+1/2,-z'
'-x+1/2,y+1/2,-z'
'x+1/2,-y+1/2,z'
loop_
_atom_site_label
_atom_site_fract_x
_atom_site_fract_y
_atom_site_fract_z
_atom_site_occupancy
Ga1 0.000 0.000 0.000 1
Sb1 0.217 0.000 0.417 1
H1 0.140 0.000 0.746 1
Pt1 0.000 0.500 0.000 1
Pt2 0.125 0.500 0.348 1
Pt3 0.181 0.257 0.834 1
# - density of states at the Fermi level (states/eV per atom) = 0.4781
# - electronic total energy (eV/atom) = -5.237

---

2.
# Sc2GaHPt | Alexandria | PBE | relaxed
data_Sc2GaHPt
_space_group_name_H-M_alt 'P 4/m m m'
_space_group_IT_number 123
_space_group_name_Hall '-P 4 2'
_cell_length_a 4.370
_cell_length_b 4.370
_cell_length_c 3.905
_cell_angle_alpha 90.00
_cell_angle_beta 90.00
_cell_angle_gamma 90.00
loop_
_atom_site_label
_atom_site_fract_x
_atom_site_fract_y
_atom_site_fract_z
_atom_site_occupancy
Sc1 0.000 0.500 0.000 1
Ga1 0.000 0.000 0.500 1
H1 0.000 0.000 0.000 1
Pt1 0.500 0.500 0.500 1
# - density of states at the Fermi level (states/eV per atom) = 0.7285
# - E above lowest polymorph (meV/atom) = 106.3
# - electronic total energy (eV/atom) = -5.657

---

3.
# Sc2GaHPt | Alexandria | PBE | relaxed
data_Sc2GaHPt
_space_group_name_H-M_alt 'P 4/m m m'
_space_group_IT_number 123
_space_group_name_Hall '-P 4 2'
_cell_length_a 4.554
_cell_length_b 4.554
_cell_length_c 3.689
_cell_angle_alpha 90.00
_cell_angle_beta 90.00
_cell_angle_gamma 90.00
loop_
_atom_site_label
_atom_site_fract_x
_atom_site_fract_y
_atom_site_fract_z
_atom_site_occupancy
Sc1 0.000 0.500 0.000 1
Ga1 0.000 0.000 0.500 1
H1 0.500 0.500 0.000 1
Pt1 0.500 0.500 0.500 1
# - density of states at the Fermi level (states/eV per atom) = 0.5371
# - E above lowest polymorph (meV/atom) = 0.0
# - electronic total energy (eV/atom) = -5.763

---

4.
# Ga2H2PtSe2 | Alexandria | PBE | relaxed
data_Ga2H2PtSe2
_space_group_name_H-M_alt 'P -1'
_space_group_IT_number 2
_cell_length_a 3.024
_cell_length_b 6.682
_cell_length_c 7.709
_cell_angle_alpha 111.41
_cell_angle_beta 90.05
_cell_angle_gamma 102.95
loop_
_space_group_symop_operation_xyz
'x,y,z'
'-x,-y,-z'
loop_
_atom_site_label
_atom_site_fract_x
_atom_site_fract_y
_atom_site_fract_z
_atom_site_occupancy
Ga1 0.166 0.330 0.293 1
H1 0.449 0.898 0.070 1
Pt1 0.000 0.000 0.000 1
Se1 0.162 0.322 0.622 1
# - density of states at the Fermi level (states/eV per atom) = 0.1997
# - electronic total energy (eV/atom) = -3.817

---

5.
# Sm2GaHPt6 | Alexandria | PBE | relaxed
data_Sm2GaHPt6
_space_group_name_H-M_alt 'R -3 m'
_space_group_IT_number 166
_space_group_name_Hall '-R 3 2"'
_cell_length_a 5.6867
_cell_length_b 5.6867
_cell_length_c 18.5619
_cell_angle_alpha 90.00
_cell_angle_beta 90.00
_cell_angle_gamma 120.00
loop_
_atom_site_label
_atom_site_fract_x
_atom_site_fract_y
_atom_site_fract_z
_atom_site_occupancy
Sm1 0.0000 0.0000 0.2162 1
Ga1 0.0000 0.0000 0.5000 1
H1 0.0000 0.0000 0.0000 1
Pt1 0.0017 0.5008 0.2699 1
# - density of states at the Fermi level (states/eV per atom) = 0.3934
# - electronic total energy (eV/atom) = -6.026

---

6.
# Sr2GaHPt | Alexandria | PBE | relaxed
data_Sr2GaHPt
_space_group_name_H-M_alt 'P 4/m m m'
_space_group_IT_number 123
_space_group_name_Hall '-P 4 2'
_cell_length_a 5.458
_cell_length_b 5.458
_cell_length_c 3.724
_cell_angle_alpha 90.00
_cell_angle_beta 90.00
_cell_angle_gamma 90.00
loop_
_atom_site_label
_atom_site_fract_x
_atom_site_fract_y
_atom_site_fract_z
_atom_site_occupancy
Sr1 0.000 0.500 0.000 1
Ga1 0.000 0.000 0.500 1
H1 0.500 0.500 0.000 1
Pt1 0.500 0.500 0.500 1
# - density of states at the Fermi level (states/eV per atom) = 0.7259
# - electronic total energy (eV/atom) = -3.670

---

7.
# SrGaHPt2 | Alexandria | PBE | relaxed
data_SrGaHPt2
_space_group_name_H-M_alt 'C m c m'
_space_group_IT_number 63
_space_group_name_Hall '-C 2c 2'
_cell_length_a 4.065
_cell_length_b 11.276
_cell_length_c 7.403
_cell_angle_alpha 90.00
_cell_angle_beta 90.00
_cell_angle_gamma 90.00
loop_
_atom_site_label
_atom_site_fract_x
_atom_site_fract_y
_atom_site_fract_z
_atom_site_occupancy
Sr1 0.000 0.050 0.250 1
Ga1 0.000 0.229 0.750 1
H1 0.000 0.500 0.000 1
Pt1 0.000 0.341 0.056 1
# - density of states at the Fermi level (states/eV per atom) = 0.3052
# - electronic total energy (eV/atom) = -4.756

---

8.
# Ta2GaHPt | Alexandria | PBE | relaxed
data_Ta2GaHPt
_space_group_name_H-M_alt 'P 4/m m m'
_space_group_IT_number 123
_space_group_name_Hall '-P 4 2'
_cell_length_a 4.019
_cell_length_b 4.019
_cell_length_c 4.266
_cell_angle_alpha 90.00
_cell_angle_beta 90.00
_cell_angle_gamma 90.00
loop_
_atom_site_label
_atom_site_fract_x
_atom_site_fract_y
_atom_site_fract_z
_atom_site_occupancy
Ta1 0.000 0.500 0.000 1
Ga1 0.000 0.000 0.500 1
H1 0.500 0.500 0.000 1
Pt1 0.500 0.500 0.500 1
# - density of states at the Fermi level (states/eV per atom) = 0.3866
# - E above lowest polymorph (meV/atom) = 0.0
# - electronic total energy (eV/atom) = -7.466

---

Question: Among the records above, which one has the lowest density of states at the Fermi level?
Answer: Ga2H2PtSe2

---

Question: Which value of electronic total energy does entry 4 give?
Answer: -3.817 eV/atom

---

Question: Which of these has the highest electronic total energy?
Answer: Sr2GaHPt

---

Question: The lowest electronic total energy belongs to which entry?
Answer: Ta2GaHPt